# 1
First-principles (PBE) data for a relaxed structure of DyMgAlIn, as listed in the Alexandria database.

Computed properties:
energy of formation = -0.2128 eV per atom
calculated volume = 23.12 Å³ per atom
space group = F-43m
density of states at the Fermi level = 2.4 states/eV per cell
ΔE to the lowest computed polymorph = 138.8 meV per atom

Cell: 5.076 5.076 5.076 Å, 60.00 60.00 60.00°
Atoms (fractional coordinates):
In: 0.500 0.500 0.500
Mg: 0.750 0.750 0.750
Al: 0.000 0.000 0.000
Dy: 0.250 0.250 0.250

=====

# 2
First-principles (PBE) data for a relaxed structure of DyAlIn2O6, as listed in the Alexandria database.

Computed properties:
calculated volume = 12.42 Å³ per atom
space group = R3
E_form (uncorrected) = -226 kJ per mole of atoms
density of states at the Fermi level = 0.0 states/eV per cell

Cell: 5.439 5.439 5.777 Å, 61.92 61.92 60.00°
Atoms (fractional coordinates):
O: 0.686 0.131 0.774
O: 0.959 0.580 0.243
In: 0.021 0.021 0.936
O: 0.219 0.959 0.243
O: 0.580 0.219 0.243
Dy: 0.807 0.807 0.579
O: 0.409 0.686 0.774
Al: 0.320 0.320 0.041
O: 0.131 0.409 0.774
In: 0.531 0.531 0.408

=====

# 3
First-principles (PBE) data for a relaxed structure of DyPaAlIn, as listed in the Alexandria database.

Computed properties:
energy of formation = -0.0691 eV per atom
calculated volume = 25.12 Å³ per atom
space group = F-43m
density of states at the Fermi level = 7.9 states/eV per cell

Cell: 5.219 5.219 5.219 Å, 60.00 60.00 60.00°
Site moments in Bohr magnetons follow the coordinates.
Atoms (fractional coordinates):
Al: 0.000 0.000 0.000  0.01
Pa: 0.250 0.250 0.250  0.92
Dy: 0.750 0.750 0.750  0.14
In: 0.500 0.500 0.500  0.02

=====

# 4
First-principles (PBE) data for a relaxed structure of Dy2Al2InPd5, as listed in the Alexandria database.

Computed properties:
energy of formation = -0.7720 eV per atom
calculated volume = 18.54 Å³ per atom
space group = P4/mbm
density of states at the Fermi level = 13.8 states/eV per cell

Cell: 3.722 9.980 9.980 Å, 90.00 90.00 90.00°
Atoms (fractional coordinates):
Pd: 0.500 0.435 0.286
Pd: 0.500 0.065 0.786
Al: 0.000 0.382 0.118
Dy: 0.000 0.679 0.179
Pd: 0.500 0.214 0.065
Al: 0.000 0.618 0.882
Pd: 0.500 0.500 0.000
Pd: 0.500 0.786 0.935
Pd: 0.500 0.714 0.435
In: 0.000 0.500 0.500
In: 0.000 0.000 0.000
Al: 0.000 0.118 0.618
Dy: 0.000 0.179 0.321
Dy: 0.000 0.321 0.821
Dy: 0.000 0.821 0.679
Pd: 0.500 0.935 0.214
Pd: 0.500 0.286 0.565
Pd: 0.500 0.565 0.714
Al: 0.000 0.882 0.382
Pd: 0.500 0.000 0.500

=====

# 5
First-principles (PBE) data for a relaxed structure of DyAlIn2Pd4, as listed in the Alexandria database.

Computed properties:
energy of formation = -0.7175 eV per atom
calculated volume = 18.06 Å³ per atom
space group = R-3m
density of states at the Fermi level = 2.4 states/eV per cell

Cell: 4.680 4.680 8.084 Å, 73.17 73.17 60.00°
Atoms (fractional coordinates):
Pd: 0.131 0.131 0.608
Pd: 0.611 0.611 0.167
In: 0.252 0.252 0.243
Pd: 0.869 0.869 0.392
Al: 0.500 0.500 0.500
In: 0.748 0.748 0.757
Dy: 0.000 0.000 0.000
Pd: 0.389 0.389 0.833

=====

# 6
First-principles (PBE) data for a relaxed structure of PmDyAlIn, as listed in the Alexandria database.

Computed properties:
energy of formation = -0.4271 eV per atom
calculated volume = 25.95 Å³ per atom
space group = P4mm
density of states at the Fermi level = 2.1 states/eV per cell
ΔE to the lowest computed polymorph = 0.0 meV per atom

Cell: 3.709 3.709 7.547 Å, 90.00 90.00 90.00°
Atoms (fractional coordinates):
Al: 0.000 0.000 0.367
Pm: 0.500 0.500 0.118
Dy: 0.500 0.500 0.597
In: 0.000 0.000 0.847

=====

# 7
First-principles (PBE) data for a relaxed structure of PmDyAlIn, as listed in the Alexandria database.

Computed properties:
energy of formation = -0.4138 eV per atom
calculated volume = 26.01 Å³ per atom
space group = F-43m
density of states at the Fermi level = 1.4 states/eV per cell
ΔE to the lowest computed polymorph = 13.3 meV per atom

Cell: 5.279 5.279 5.279 Å, 60.00 60.00 60.00°
Atoms (fractional coordinates):
In: 0.250 0.250 0.250
Pm: 0.000 0.000 0.000
Al: 0.750 0.750 0.750
Dy: 0.500 0.500 0.500

=====

# 8
First-principles (PBE) data for a relaxed structure of Dy2Al4InPt3, as listed in the Alexandria database.

Computed properties:
energy of formation = -0.9271 eV per atom
calculated volume = 19.35 Å³ per atom
space group = P-4m2
density of states at the Fermi level = 4.9 states/eV per cell

Cell: 4.224 4.224 10.844 Å, 90.00 90.00 90.00°
Atoms (fractional coordinates):
Dy: 0.000 0.500 0.762
Al: 0.500 0.000 0.649
Al: 0.500 0.500 0.000
Al: 0.000 0.000 0.000
Al: 0.000 0.500 0.351
Dy: 0.500 0.000 0.238
Pt: 0.500 0.000 0.871
Pt: 0.000 0.500 0.129
In: 0.500 0.500 0.500
Pt: 0.000 0.000 0.500

=====

# 9
First-principles (PBE) data for a relaxed structure of DyPuAlIn, as listed in the Alexandria database.

Computed properties:
energy of formation = -0.2259 eV per atom
calculated volume = 25.23 Å³ per atom
space group = F-43m
density of states at the Fermi level = 7.8 states/eV per cell

Cell: 5.226 5.226 5.226 Å, 60.00 60.00 60.00°
Site moments in Bohr magnetons follow the coordinates.
Atoms (fractional coordinates):
In: 0.250 0.250 0.250  -0.01
Pu: 0.000 0.000 0.000  5.34
Al: 0.750 0.750 0.750  -0.02
Dy: 0.500 0.500 0.500  0.10

=====

# 10
First-principles (PBE) data for a relaxed structure of DyAlIn2S6, as listed in the Alexandria database.

Computed properties:
calculated volume = 25.48 Å³ per atom
space group = C2/c
E_form (uncorrected) = -97 kJ per mole of atoms
density of states at the Fermi level = 0.0 states/eV per cell

Cell: 6.827 8.982 8.982 Å, 95.52 75.62 75.62°
Atoms (fractional coordinates):
S: 0.928 0.346 0.890
Al: 0.250 0.170 0.830
Dy: 0.250 0.904 0.096
Dy: 0.750 0.096 0.904
S: 0.979 0.707 0.534
In: 0.848 0.531 0.707
S: 0.572 0.110 0.654
S: 0.172 0.936 0.807
S: 0.672 0.807 0.936
In: 0.152 0.469 0.293
S: 0.072 0.654 0.110
S: 0.521 0.466 0.293
S: 0.428 0.890 0.346
In: 0.652 0.293 0.469
S: 0.328 0.193 0.064
S: 0.021 0.293 0.466
In: 0.348 0.707 0.531
Al: 0.750 0.830 0.170
S: 0.828 0.064 0.193
S: 0.479 0.534 0.707

=====

# 11
First-principles (PBE) data for a relaxed structure of DyScAlIn, as listed in the Alexandria database.

Computed properties:
energy of formation = -0.3925 eV per atom
calculated volume = 23.06 Å³ per atom
space group = F-43m
density of states at the Fermi level = 2.1 states/eV per cell
ΔE to the lowest computed polymorph = 25.8 meV per atom

Cell: 5.072 5.072 5.072 Å, 60.00 60.00 60.00°
Atoms (fractional coordinates):
In: 0.750 0.750 0.750
Sc: 0.000 0.000 0.000
Al: 0.250 0.250 0.250
Dy: 0.500 0.500 0.500

=====

# 12
First-principles (PBE) data for a relaxed structure of DyScAlIn, as listed in the Alexandria database.

Computed properties:
energy of formation = -0.4183 eV per atom
calculated volume = 22.86 Å³ per atom
space group = P4mm
density of states at the Fermi level = 1.9 states/eV per cell
ΔE to the lowest computed polymorph = 0.0 meV per atom

Cell: 3.505 3.505 7.442 Å, 90.00 90.00 90.00°
Atoms (fractional coordinates):
Dy: 0.500 0.500 0.120
Al: 0.000 0.000 0.375
In: 0.000 0.000 0.838
Sc: 0.500 0.500 0.595